This record from Alexandria describes a relaxed NbCrI2O crystal. The functional is PBE with a Hubbard U.

CIF file:
```
data_NbCrI2O
_chemical_formula_sum 'Nb1 Cr1 I2 O1'
_symmetry_space_group_name_H-M 'P 4/m m m'
_symmetry_Int_Tables_number 123
_symmetry_space_group_name_Hall '-P 4 2'
_cell_length_a 5.8400
_cell_length_b 5.8400
_cell_length_c 3.9344
_cell_angle_alpha 90.00
_cell_angle_beta 90.00
_cell_angle_gamma 90.00
loop_
_atom_site_label
_atom_site_fract_x
_atom_site_fract_y
_atom_site_fract_z
Nb1 0.0000 0.0000 0.0000
Cr1 0.5000 0.5000 0.5000
I1 0.0000 0.5000 0.0000
O1 0.0000 0.0000 0.5000
```

- Distance to the lowest polymorph of the same formula: 0 meV per atom